1.
MnAlAu4: optimized geometry, GGA-PBE.

Cell lengths 7.735, 7.735, 7.735 Å; angles 90.00, 90.00, 90.00 degrees
Space group F-43m (No. 216)
Inequivalent atoms, fractional coordinates:
Mn (0.000, 0.000, 0.000) [4 per cell]
Al (0.250, 0.250, 0.750) [4 per cell]
Au (0.125, 0.125, 0.375) [16 per cell]

## Properties
E above lowest polymorph	269	meV per atom
M_tot	0.733	μB per atom



2.
Mn2Al2Au: optimized geometry, GGA-PBE.

Cell lengths 7.106, 7.106, 2.800 Å; angles 90.00, 90.00, 90.00 degrees
Space group P4/mbm (No. 127)
Inequivalent atoms, fractional coordinates:
Mn (0.104, 0.396, 0.000) [4 per cell]
Al (0.187, 0.687, 0.500) [4 per cell]
Au (0.000, 0.000, 0.000) [2 per cell]

## Properties
E above lowest polymorph	73	meV per atom
M_tot	0.261	μB per atom



3.
MnAlAu2: optimized geometry, GGA-PBE.

Cell lengths 8.785, 3.006, 5.163 Å; angles 90.00, 101.44, 90.00 degrees
Space group C2/m (No. 12)
Inequivalent atoms, fractional coordinates:
Mn (0.000, 0.000, 0.000) [2 per cell]
Al (0.000, 0.500, 0.500) [2 per cell]
Au (0.245, 0.000, 0.749) [4 per cell]

## Properties
M_tot	0.939	μB per atom



4.
Mn2AlAu3: optimized geometry, GGA-PBE.

Cell lengths 4.410, 6.722, 7.027 Å; angles 90.00, 108.14, 90.00 degrees
Space group P2/m (No. 10)
Inequivalent atoms, fractional coordinates:
Mn (0.000, 0.000, 0.000) [1 per cell]
Mn (0.000, 0.500, 0.000) [1 per cell]
Mn (0.333, 0.000, 0.666) [2 per cell]
Al (0.341, 0.500, 0.682) [2 per cell]
Au (0.171, 0.263, 0.341) [4 per cell]
Au (0.500, 0.248, 0.000) [2 per cell]

## Properties
M_tot	1.338	μB per atom



| no. | formation energy from the elements (eV per formula unit) | calculated volume (Å³ per atom) |
| --- | --- | --- |
| 1 | 0.98 | 19.3 |
| 2 | -0.14 | 14.1 |
| 3 | -0.47 | 16.7 |
| 4 | -0.91 | 16.5 |